Density functional theory data (PBE-GGA) for a relaxed structure of Ga2AgHg.

a = 3.212 Å, b = 3.157 Å, c = 9.879 Å
α = 76.40°, β = 90.00°, γ = 120.58°
Positions (direct):
1 Ga 0.772 0.545 0.279
2 Ga 0.228 0.455 0.721
3 Ag 0.000 0.000 0.500
4 Hg 0.000 0.000 0.000

Summary:
- Uncorrected energy: -2.2491 eV/atom
- Formation enthalpy at 0 K: 0.053 eV per atom